No. 1
This record from Alexandria via LeMat-Bulk describes a relaxed structure of PmPr2Sn2. The functional is PBE-GGA.

abc: 9.8351 9.8351 6.6767
angles: 90.00 90.00 149.99
Closest atoms and distances in Å follow each position.
Atoms (fractional coordinates):
Pm 0.1026 0.8974 0.7500  5 Sn 3.06-3.39
Pm 0.8974 0.1026 0.2500  5 Sn 3.06-3.39
Pr 0.3079 0.6921 0.7500  6 Sn 3.34-3.37
Pr 0.5000 0.5000 0.0000  2 Pr 3.34, 4 Sn 3.37, 4 Pm 3.62
Pr 0.5000 0.5000 0.5000  2 Pr 3.34, 4 Sn 3.37, 4 Pm 3.62
Pr 0.6921 0.3079 0.2500  6 Sn 3.34-3.37
Sn 0.0759 0.9241 0.2500  6 Pr 3.37, 3 Pm 3.38-3.39
Sn 0.3080 0.6920 0.2500  2 Pm 3.06, 4 Pr 3.34-3.37
Sn 0.6920 0.3080 0.7500  2 Pm 3.06, 4 Pr 3.34-3.37
Sn 0.9241 0.0759 0.7500  6 Pr 3.37, 3 Pm 3.38-3.39

Computed properties:
- D(E_F) (states/eV/f.u.) = 3.8
- electronic total energy (eV/cell) = -50.93
- offset from the most stable computed form (meV per atom) = 69



No. 2
This record from Alexandria via LeMat-Bulk describes a relaxed structure of PmPr2Sn9. The functional is PBE-GGA.

abc: 4.8308 4.8308 14.0624
angles: 90.00 90.00 90.00
Closest atoms and distances in Å follow each position.
Atoms (fractional coordinates):
Pm 0.0000 0.0000 0.0000  12 Sn 3.35-3.42
Pr 0.0000 0.0000 0.3324  12 Sn 3.37-3.42
Pr 0.0000 0.0000 0.6676  12 Sn 3.37-3.42
Sn 0.0000 0.5000 0.1649  8 Sn 3.35-3.42, 2 Pm 3.35, 2 Pr 3.37
Sn 0.0000 0.5000 0.5000  8 Sn 3.37-3.42, 4 Pr 3.38
Sn 0.0000 0.5000 0.8351  8 Sn 3.35-3.42, 2 Pm 3.35, 2 Pr 3.37
Sn 0.5000 0.0000 0.1649  8 Sn 3.35-3.42, 2 Pm 3.35, 2 Pr 3.37
Sn 0.5000 0.0000 0.5000  8 Sn 3.37-3.42, 4 Pr 3.38
Sn 0.5000 0.0000 0.8351  8 Sn 3.35-3.42, 2 Pm 3.35, 2 Pr 3.37
Sn 0.5000 0.5000 0.0000  8 Sn 3.35, 4 Pm 3.42
Sn 0.5000 0.5000 0.3325  8 Sn 3.37, 4 Pr 3.42
Sn 0.5000 0.5000 0.6675  8 Sn 3.37, 4 Pr 3.42

Computed properties:
- D(E_F) (states/eV/f.u.) = 7.1
- electronic total energy (eV/cell) = -56.32



No. 3
This record from Alexandria via LeMat-Bulk describes a relaxed structure of Pm2Pr2Sn5. The functional is PBE-GGA.

abc: 9.3320 9.3320 8.2240
angles: 90.00 90.00 52.33
Closest atoms and distances in Å follow each position.
Atoms (fractional coordinates):
Pm 0.1696 0.8304 0.8306  8 Sn 3.06-3.33
Pm 0.3304 0.6696 0.3306  8 Sn 3.06-3.33
Pm 0.6696 0.3304 0.6694  8 Sn 3.06-3.33
Pm 0.8304 0.1696 0.1694  8 Sn 3.06-3.33
Pr 0.1895 0.1895 0.5000  7 Sn 3.18-3.38
Pr 0.3105 0.3105 0.0000  7 Sn 3.18-3.38
Pr 0.6895 0.6895 0.0000  7 Sn 3.18-3.38
Pr 0.8105 0.8105 0.5000  7 Sn 3.18-3.38
Sn 0.0000 0.0000 0.5000  4 Pm 3.06, 2 Pr 3.18
Sn 0.0073 0.2606 0.8743  1 Sn 2.94, 1 Pm 3.27
Sn 0.2394 0.4927 0.6257  1 Sn 2.94, 1 Pm 3.27
Sn 0.2606 0.0073 0.1257  1 Sn 2.94, 1 Pm 3.27
Sn 0.4927 0.2394 0.3743  1 Sn 2.94, 1 Pm 3.27
Sn 0.5000 0.5000 0.0000  4 Pm 3.06, 2 Pr 3.18
Sn 0.5073 0.7606 0.6257  1 Sn 2.94, 1 Pm 3.27
Sn 0.7394 0.9927 0.8743  1 Sn 2.94, 1 Pm 3.27
Sn 0.7606 0.5073 0.3743  1 Sn 2.94, 1 Pm 3.27
Sn 0.9927 0.7394 0.1257  1 Sn 2.94, 1 Pm 3.27

Computed properties:
- D(E_F) (states/eV/f.u.) = 3.1
- electronic total energy (eV/cell) = -89.28



The highest D(E_F) belongs to which entry?
PmPr2Sn9